Rb2BeCrO4 after structural relaxation. Source: Alexandria, functional GGA+U.

DFT total energy, Ha/atom: -0.2180
Space-group type: No. 70

Cell and atoms, written as extended XYZ:
```
16
Lattice="-0.1044 4.0775 -2.2879 -5.8951 1.5997 -1.6597 -1.2444 7.1467 8.0139" Properties=species:S:1:pos:R:3 pbc="T T T"
Rb -0.8303 5.3726 4.8332
Rb -3.2340 5.6573 -1.7195
Rb -4.0621 9.2055 4.6419
Rb -0.5185 5.8516 0.8928
O -2.7973 6.8408 2.9309
O -4.7007 8.8868 1.5419
O -2.5470 4.0833 2.4425
O -5.1003 3.1939 -1.4159
O -4.4429 5.8372 1.2174
O -2.0951 7.7373 6.5442
O -1.1011 3.3481 -0.9813
O -6.1913 11.3686 3.9856
Cr 0.0000 0.0000 0.0000
Cr -3.6481 7.4314 1.4612
Be -3.5958 5.3926 2.6051
Be -0.0522 2.0388 -1.1440
```